DFT (PBE-GGA) results for an optimized crystal structure of AlHg3Cl.

Calculated values
D(E_F) (states/eV/atom): 0.392
E above lowest polymorph (meV per atom): 0.0
Raw formation energy (kcal/mol of atoms): -2.6

Cell lengths 5.2894, 5.2894, 5.2894 Å; angles 90.00, 90.00, 90.00 degrees
Positions (direct):
Hg (0.5000, 0.0000, 0.0000)
Hg (0.0000, 0.5000, 0.0000)
Hg (0.0000, 0.0000, 0.5000)
Cl (0.5000, 0.5000, 0.5000)
Al (0.0000, 0.0000, 0.0000)